Below is crystalline Li2Ta2CuS6 at its relaxed geometry, with properties calculated at the GGA-PBE level.

a = 6.1642 Å, b = 6.1642 Å, c = 6.4159 Å
α = 98.04°, β = 98.04°, γ = 121.28°
With the nearest neighbours (Å) after each atom.
Fractional positions:
Li  0.8235  0.1765  0.0000  6 S 2.57-2.68
Li  0.1765  0.8235  0.0000  6 S 2.57-2.68
Ta  0.3526  0.6474  0.5000  6 S 2.42-2.56
Ta  0.6474  0.3526  0.5000  6 S 2.42-2.56
Cu  0.0000  0.0000  0.5000  6 S 2.54-2.57
S  0.7374  0.7374  0.7532  2 Ta 2.42, 1 Cu 2.57, 2 Li 2.68
S  0.0609  0.4105  0.7235  2 Ta 2.45-2.56, 1 Cu 2.54, 2 Li 2.57-2.58
S  0.2626  0.2626  0.2468  2 Ta 2.42, 1 Cu 2.57, 2 Li 2.68
S  0.4105  0.0609  0.7235  2 Ta 2.45-2.56, 1 Cu 2.54, 2 Li 2.57-2.58
S  0.9391  0.5895  0.2765  2 Ta 2.45-2.56, 1 Cu 2.54, 2 Li 2.57-2.58
S  0.5895  0.9391  0.2765  2 Ta 2.45-2.56, 1 Cu 2.54, 2 Li 2.57-2.58

Properties
* formation energy without anion corrections: -903 meV/atom

---

Below is crystalline Pr3SmCd4 at its relaxed geometry, with properties calculated at the GGA-PBE level.

a = 3.8644 Å, b = 3.8644 Å, c = 15.4981 Å
α = 90.00°, β = 90.00°, γ = 90.00°
With the nearest neighbours (Å) after each atom.
Fractional positions:
Pr  0.5000  0.5000  0.2470  8 Cd 3.37-3.38
Pr  0.5000  0.5000  0.5000  8 Cd 3.36
Pr  0.5000  0.5000  0.7530  8 Cd 3.37-3.38
Sm  0.5000  0.5000  0.0000  8 Cd 3.30
Cd  0.0000  0.0000  0.8809  4 Sm 3.30, 4 Pr 3.38, 1 Cd 3.69
Cd  0.0000  0.0000  0.1191  4 Sm 3.30, 4 Pr 3.38, 1 Cd 3.69
Cd  0.0000  0.0000  0.3740  8 Pr 3.36-3.37
Cd  0.0000  0.0000  0.6260  8 Pr 3.36-3.37

Properties
* formation enthalpy at 0 K: -0.32 eV per atom